DFT (PBE) results for crystalline TcAsPb2 at its relaxed geometry.

abc: 5.0066 5.0066 5.0066
angles: 60.00 60.00 60.00
Site moments in Bohr magnetons follow the coordinates.
Fractional coordinates of all 4 atoms:
Pb 0.0000 0.0000 0.0000  0.00
Pb 0.2500 0.2500 0.2500  -0.01
As 0.5000 0.5000 0.5000  -0.01
Tc 0.7500 0.7500 0.7500  0.79

**Theoretical density**: 10.99 g/cm3
**E**: -4.889 eV/atom
**Energy of formation**: 0.72 eV/atom
**Calculated volume**: 22.18 A^3/atom
**Fermi-level density of states**: 5.006 states/eV/f.u.
**Magnetic moment**: 0.91 Bohr magnetons per cell